DFT (GGA-PBE) results for Ce2Pu3ScTe6 after structural relaxation. Values from VASP.

```
&SYSTEM
  ibrav = 0, nat = 12, ntyp = 4
/
ATOMIC_SPECIES
Ce 140.12 Ce.upf
Pu 244.00 Pu.upf
Sc 44.96 Sc.upf
Te 127.60 Te.upf
CELL_PARAMETERS angstrom
4.398 0.000 0.000
0.000 8.839 0.340
-2.199 -2.511 9.267
ATOMIC_POSITIONS angstrom
Ce 2.199 4.204 6.429
Ce 0.000 2.124 3.177
Pu 2.199 4.420 0.170
Pu 2.199 -0.209 6.153
Pu 0.000 6.537 3.454
Sc 2.199 0.000 0.000
Te 0.000 6.450 6.609
Te 2.199 4.366 3.283
Te 2.199 -0.123 2.998
Te 2.199 -0.413 9.289
Te 0.000 6.741 0.318
Te 0.000 1.961 6.323
```

Values from the calculation:
DOS(E_F): 3.82 states/eV/atom
Uncorrected formation energy: -1171 meV/atom
Density: 8.32 g/cm³
Space group: No. 12
Size of the total moment: 7.9 μB/f.u.